# PBE Th6Os2PtS3, relaxed
data_Th6Os2PtS3
_chemical_formula_sum 'Th12 Os4 Pt2 S6'
_symmetry_space_group_name_H-M 'C 1 2/m 1'
_symmetry_Int_Tables_number 12
_cell_length_a 18.470
_cell_length_b 4.101
_cell_length_c 8.556
_cell_angle_alpha 90.00
_cell_angle_beta 106.63
_cell_angle_gamma 90.00
loop_
_symmetry_equiv_pos_as_xyz
'x,y,z'
'-x,-y,-z'
'-x,y,-z'
'x,-y,z'
'x+1/2,y+1/2,z'
'-x+1/2,-y+1/2,-z'
'-x+1/2,y+1/2,-z'
'x+1/2,-y+1/2,z'
loop_
_atom_site_label
_atom_site_type_symbol
_atom_site_fract_x
_atom_site_fract_y
_atom_site_fract_z
Th1 Th 0.007 0.000 0.247
Th2 Th 0.165 0.500 0.102
Th3 Th 0.173 0.500 0.570
Os1 Os 0.166 0.000 0.332
Pt1 Pt 0.000 0.500 0.000
S1 S 0.000 0.500 0.500
S2 S 0.165 0.000 0.835
# Formation energy (no corrections) (eV/atom): -1.187
# Density (g/cm³): 11.0
# VASP energy (eV/atom): -8.30


# PBE ErPbS2, relaxed
data_ErPbS2
_chemical_formula_sum 'Er3 Pb3 S6'
_symmetry_space_group_name_H-M 'R 3 m'
_symmetry_Int_Tables_number 160
_symmetry_space_group_name_Hall 'R 3 -2"'
_cell_length_a 3.8365
_cell_length_b 3.8365
_cell_length_c 23.7861
_cell_angle_alpha 90.00
_cell_angle_beta 90.00
_cell_angle_gamma 120.00
loop_
_atom_site_label
_atom_site_type_symbol
_atom_site_fract_x
_atom_site_fract_y
_atom_site_fract_z
Er1 Er 0.0000 0.0000 0.0000
Pb1 Pb 0.0000 0.0000 0.8334
S1 S 0.0000 0.0000 0.3981
S2 S 0.0000 0.0000 0.6012
# Formation energy (no corrections) (eV/atom): -1.318
# Density (g/cm³): 7.2
# VASP energy (eV/atom): -5.45